# 1
HfSc2F | GGA-PBE | relaxed Values from VASP.

Geometry as Quantum ESPRESSO input:
```
&SYSTEM
  ibrav = 0, nat = 12, ntyp = 3
/
ATOMIC_SPECIES
Hf 178.49 Hf.upf
Sc 44.96 Sc.upf
F 19.00 F.upf
CELL_PARAMETERS angstrom
3.300 0.000 0.000
-1.650 2.858 0.000
0.000 0.000 27.186
ATOMIC_POSITIONS crystal
Hf 0.000 0.000 0.000
Hf 0.333 0.667 0.667
Hf 0.667 0.333 0.333
Sc 0.000 0.000 0.424
Sc 0.000 0.000 0.576
Sc 0.333 0.667 0.091
Sc 0.333 0.667 0.242
Sc 0.667 0.333 0.758
Sc 0.667 0.333 0.909
F 0.000 0.000 0.500
F 0.333 0.667 0.167
F 0.667 0.333 0.833
```

Values from the calculation:
density of states at the Fermi level	13.7	states/eV per cell
distance to the lowest polymorph of the same formula	0.0111	eV/atom
E_form (uncorrected)	-1.119	eV/atom
calculated density	5.6	Mg/m³
final energy	-86.89	eV per cell



# 2
LiPmBeHg | GGA-PBE | relaxed Values from VASP.

Geometry as Quantum ESPRESSO input:
```
&SYSTEM
  ibrav = 0, nat = 16, ntyp = 4
/
ATOMIC_SPECIES
Li 6.94 Li.upf
Pm 145.00 Pm.upf
Be 9.01 Be.upf
Hg 200.59 Hg.upf
CELL_PARAMETERS angstrom
6.659 0.000 0.000
0.000 6.659 0.000
0.000 0.000 6.659
ATOMIC_POSITIONS crystal
Li 0.000 0.000 0.000
Li 0.000 0.500 0.500
Li 0.500 0.000 0.500
Li 0.500 0.500 0.000
Pm 0.250 0.250 0.750
Pm 0.250 0.750 0.250
Pm 0.750 0.250 0.250
Pm 0.750 0.750 0.750
Be 0.000 0.000 0.500
Be 0.000 0.500 0.000
Be 0.500 0.000 0.000
Be 0.500 0.500 0.500
Hg 0.250 0.250 0.250
Hg 0.250 0.750 0.750
Hg 0.750 0.250 0.750
Hg 0.750 0.750 0.250
```

Values from the calculation:
density of states at the Fermi level	4.6	states/eV per cell
DFT formation energy	-0.118	eV per atom
calculated density	8.1	Mg/m³
final energy	-44.67	eV per cell



# 3
LiMg6Nb | GGA-PBE | relaxed Values from VASP.

Geometry as Quantum ESPRESSO input:
```
&SYSTEM
  ibrav = 0, nat = 16, ntyp = 3
/
ATOMIC_SPECIES
Li 6.94 Li.upf
Mg 24.30 Mg.upf
Nb 92.91 Nb.upf
CELL_PARAMETERS angstrom
8.664 0.000 0.000
0.000 8.672 0.000
0.000 0.000 4.461
ATOMIC_POSITIONS crystal
Li 0.000 0.000 0.000
Li 0.500 0.500 0.000
Mg 0.000 0.259 0.500
Mg 0.000 0.741 0.500
Mg 0.242 0.500 0.500
Mg 0.250 0.250 0.000
Mg 0.250 0.750 0.000
Mg 0.258 0.000 0.500
Mg 0.500 0.241 0.500
Mg 0.500 0.759 0.500
Mg 0.742 0.000 0.500
Mg 0.750 0.250 0.000
Mg 0.750 0.750 0.000
Mg 0.758 0.500 0.500
Nb 0.000 0.500 0.000
Nb 0.500 0.000 0.000
```

Values from the calculation:
density of states at the Fermi level	12.0	states/eV per cell
distance to the lowest polymorph of the same formula	0.0000	eV/atom
DFT formation energy	0.102	eV per atom
calculated density	2.4	Mg/m³
final energy	-41.47	eV per cell



# 4
BeHgAu2 | GGA-PBE | relaxed Values from VASP.

Geometry as Quantum ESPRESSO input:
```
&SYSTEM
  ibrav = 0, nat = 4, ntyp = 3
/
ATOMIC_SPECIES
Be 9.01 Be.upf
Hg 200.59 Hg.upf
Au 196.97 Au.upf
CELL_PARAMETERS angstrom
4.031 0.000 0.000
0.000 4.112 0.000
0.000 0.000 4.123
ATOMIC_POSITIONS crystal
Be 0.000 0.000 0.000
Hg 0.000 0.500 0.500
Au 0.500 0.000 0.500
Au 0.500 0.500 0.000
```

Values from the calculation:
density of states at the Fermi level	0.6	states/eV per cell
distance to the lowest polymorph of the same formula	0.2559	eV/atom
DFT formation energy	0.225	eV per atom
calculated density	14.7	Mg/m³
final energy	-9.68	eV per cell



# 5
Ca2LaSn2Hg2 | GGA-PBE | relaxed Values from VASP.

Geometry as Quantum ESPRESSO input:
```
&SYSTEM
  ibrav = 0, nat = 7, ntyp = 4
/
ATOMIC_SPECIES
Ca 40.08 Ca.upf
La 138.91 La.upf
Sn 118.71 Sn.upf
Hg 200.59 Hg.upf
CELL_PARAMETERS angstrom
2.518 1.454 9.056
-2.518 1.454 9.056
0.000 -2.908 9.056
ATOMIC_POSITIONS crystal
Ca 0.135 0.135 0.135
Ca 0.865 0.865 0.865
La 0.000 0.000 0.000
Sn 0.266 0.266 0.266
Sn 0.734 0.734 0.734
Hg 0.436 0.436 0.436
Hg 0.564 0.564 0.564
```

Values from the calculation:
density of states at the Fermi level	3.2	states/eV per cell
DFT formation energy	-0.470	eV per atom
calculated density	7.2	Mg/m³
final energy	-20.83	eV per cell



# 6
V2Ag2Mo | GGA-PBE | relaxed Values from VASP.

Geometry as Quantum ESPRESSO input:
```
&SYSTEM
  ibrav = 0, nat = 10, ntyp = 3
/
ATOMIC_SPECIES
V 50.94 V.upf
Ag 107.87 Ag.upf
Mo 95.94 Mo.upf
CELL_PARAMETERS angstrom
6.125 0.000 0.000
0.000 6.125 0.000
0.000 0.000 4.382
ATOMIC_POSITIONS crystal
V 0.138 0.362 0.000
V 0.362 0.862 0.000
V 0.638 0.138 0.000
V 0.862 0.638 0.000
Ag 0.166 0.666 0.500
Ag 0.334 0.166 0.500
Ag 0.666 0.834 0.500
Ag 0.834 0.334 0.500
Mo 0.000 0.000 0.000
Mo 0.500 0.500 0.000
```

Values from the calculation:
density of states at the Fermi level	10.6	states/eV per cell
distance to the lowest polymorph of the same formula	0.0000	eV/atom
DFT formation energy	0.604	eV per atom
calculated density	8.4	Mg/m³
final energy	-63.50	eV per cell



# 7
SrLiRuN2 | GGA-PBE | relaxed Values from VASP.

Geometry as Quantum ESPRESSO input:
```
&SYSTEM
  ibrav = 0, nat = 5, ntyp = 4
/
ATOMIC_SPECIES
Sr 87.62 Sr.upf
Li 6.94 Li.upf
Ru 101.07 Ru.upf
N 14.01 N.upf
CELL_PARAMETERS angstrom
4.451 0.000 0.000
0.000 4.451 0.000
0.000 0.000 4.604
ATOMIC_POSITIONS crystal
Sr 0.000 0.000 0.000
Li 0.000 0.000 0.500
Ru 0.500 0.500 0.500
N 0.000 0.500 0.000
N 0.500 0.000 0.000
```

Values from the calculation:
density of states at the Fermi level	2.5	states/eV per cell
distance to the lowest polymorph of the same formula	2.4450	eV/atom
E_form (uncorrected)	2.142	eV/atom
calculated density	4.1	Mg/m³
final energy	-18.81	eV per cell



# 8
Tl6Hg2Au | GGA-PBE | relaxed Values from VASP.

Geometry as Quantum ESPRESSO input:
```
&SYSTEM
  ibrav = 0, nat = 9, ntyp = 3
/
ATOMIC_SPECIES
Tl 204.38 Tl.upf
Hg 200.59 Hg.upf
Au 196.97 Au.upf
CELL_PARAMETERS angstrom
6.312 -2.505 0.000
6.312 2.505 0.000
-2.179 0.000 8.216
ATOMIC_POSITIONS crystal
Tl 0.102 0.102 0.196
Tl 0.202 0.202 0.797
Tl 0.361 0.361 0.507
Tl 0.639 0.639 0.493
Tl 0.798 0.798 0.203
Tl 0.898 0.898 0.804
Hg 0.422 0.422 0.115
Hg 0.578 0.578 0.885
Au 0.000 0.000 0.500
```

Values from the calculation:
density of states at the Fermi level	3.5	states/eV per cell
DFT formation energy	-0.013	eV per atom
calculated density	11.7	Mg/m³
final energy	-18.20	eV per cell



- Which value of density of states at the Fermi level does entry 4 give?
  0.6 states/eV per cell



Please write out number 8 again, unchanged.
Tl6Hg2Au | GGA-PBE | relaxed Values from VASP.

Geometry as Quantum ESPRESSO input:
```
&SYSTEM
  ibrav = 0, nat = 9, ntyp = 3
/
ATOMIC_SPECIES
Tl 204.38 Tl.upf
Hg 200.59 Hg.upf
Au 196.97 Au.upf
CELL_PARAMETERS angstrom
6.312 -2.505 0.000
6.312 2.505 0.000
-2.179 0.000 8.216
ATOMIC_POSITIONS crystal
Tl 0.102 0.102 0.196
Tl 0.202 0.202 0.797
Tl 0.361 0.361 0.507
Tl 0.639 0.639 0.493
Tl 0.798 0.798 0.203
Tl 0.898 0.898 0.804
Hg 0.422 0.422 0.115
Hg 0.578 0.578 0.885
Au 0.000 0.000 0.500
```

Values from the calculation:
density of states at the Fermi level	3.5	states/eV per cell
DFT formation energy	-0.013	eV per atom
calculated density	11.7	Mg/m³
final energy	-18.20	eV per cell



- Look up the calculated density of the fifth one.
  7.2 Mg/m³